VASP calculation (PBE+U) on an optimized crystal structure of Ca8Mg5Fe2Si16O48.

Structure (CIF):
```
data_Ca8Mg5Fe2Si16O48
_chemical_formula_sum 'Ca16 Mg10 Fe4 Si32 O96'
_space_group_name_H-M_alt 'C 1 2 1'
_space_group_IT_number 5
_cell_length_a 12.323
_cell_length_b 9.056
_cell_length_c 16.418
_cell_angle_alpha 90.00
_cell_angle_beta 94.09
_cell_angle_gamma 90.00
loop_
_space_group_symop_operation_xyz
'x,y,z'
'-x,y,-z'
'x+1/2,y+1/2,z'
'-x+1/2,y+1/2,-z'
loop_
_atom_site_label
_atom_site_type_symbol
_atom_site_fract_x
_atom_site_fract_y
_atom_site_fract_z
_atom_site_occupancy
Ca1 Ca 0.000 0.000 0.000 1
Ca2 Ca 0.000 0.491 0.500 1
Ca3 Ca 0.112 0.408 0.889 1
Ca4 Ca 0.128 0.894 0.377 1
Ca5 Ca 0.247 0.493 0.245 1
Mg1 Mg 0.000 0.101 0.500 1
Mg2 Mg 0.126 0.286 0.375 1
Mg3 Mg 0.245 0.596 0.749 1
Fe1 Fe 0.118 0.784 0.879 1
Si1 Si 0.013 0.097 0.773 1
Si2 Si 0.018 0.604 0.273 1
Si3 Si 0.111 0.788 0.603 1
Si4 Si 0.118 0.280 0.104 1
Si5 Si 0.137 0.285 0.648 1
Si6 Si 0.144 0.794 0.150 1
Si7 Si 0.236 0.600 0.478 1
Si8 Si 0.238 0.103 0.976 1
O1 O 0.012 0.679 0.638 1
O2 O 0.018 0.170 0.137 1
O3 O 0.029 0.280 0.585 1
O4 O 0.033 0.807 0.092 1
O5 O 0.050 0.942 0.586 1
O6 O 0.068 0.441 0.096 1
O7 O 0.075 0.447 0.289 1
O8 O 0.077 0.943 0.790 1
O9 O 0.088 0.613 0.793 1
O10 O 0.095 0.100 0.289 1
O11 O 0.111 0.204 0.736 1
O12 O 0.117 0.714 0.239 1
O13 O 0.136 0.208 0.011 1
O14 O 0.137 0.709 0.513 1
O15 O 0.156 0.106 0.459 1
O16 O 0.161 0.619 0.957 1
O17 O 0.177 0.445 0.461 1
O18 O 0.179 0.945 0.960 1
O19 O 0.195 0.442 0.663 1
O20 O 0.213 0.942 0.165 1
O21 O 0.218 0.781 0.666 1
O22 O 0.229 0.270 0.165 1
O23 O 0.237 0.179 0.611 1
O24 O 0.237 0.677 0.113 1
```

density	3.22	g/cm3
total DFT energy (no corrections)	-7.38	eV per atom